w.
Compound: LaSc2Pt2
Source: Alexandria via LeMat-Bulk
Functional: GGA-PBE
Structure: optimized geometry

Cell: 7.7857 7.7857 3.6224 Å, 90.00 90.00 90.00°
Space group P4/mbm (No. 127)
Inequivalent atoms, fractional coordinates:
La 0.0000 0.0000 0.0000 (multiplicity 2)
Sc 0.1480 0.3520 0.5000 (multiplicity 4)
Pt 0.1371 0.6371 0.0000 (multiplicity 4)

Spin magnetization in Bohr magnetons per cell: 0.0
DOS at the Fermi energy in states/eV/f.u.: 5.58

---

x.
Compound: LaSc2Pt2
Source: Alexandria via LeMat-Bulk
Functional: GGA-PBE
Structure: optimized geometry

Cell: 4.4437 4.4437 11.6799 Å, 90.00 90.00 90.00°
Space group I4/mmm (No. 139)
Inequivalent atoms, fractional coordinates:
La 0.0000 0.0000 0.0000 (multiplicity 2)
Sc 0.0000 0.5000 0.2500 (multiplicity 4)
Pt 0.0000 0.0000 0.3832 (multiplicity 4)

Spin magnetization in Bohr magnetons per cell: 0.0
DOS at the Fermi energy in states/eV/f.u.: 10.07

---

y.
Compound: LaSc2Pt2
Source: Alexandria via LeMat-Bulk
Functional: GGA-PBE
Structure: optimized geometry

Cell: 4.9655 4.9655 9.9537 Å, 90.00 90.00 90.00°
Space group I4/mmm (No. 139)
Inequivalent atoms, fractional coordinates:
La 0.0000 0.0000 0.0000 (multiplicity 2)
Sc 0.0000 0.0000 0.3424 (multiplicity 4)
Pt 0.0000 0.5000 0.2500 (multiplicity 4)

Spin magnetization in Bohr magnetons per cell: 0.2
DOS at the Fermi energy in states/eV/f.u.: 5.50

---

Result of the stability comparison: y is the least stable of them.

---

w.
Compound: LaPtSe2
Source: Alexandria via LeMat-Bulk
Functional: GGA-PBE
Structure: optimized geometry

Cell: 5.8718 8.7245 4.8262 Å, 90.00 127.18 90.00°
Space group C2/m (No. 12)
Inequivalent atoms, fractional coordinates:
La 0.0000 0.0000 0.0000 (multiplicity 2)
Pt 0.0000 0.5000 0.0000 (multiplicity 2)
Se 0.2500 0.2500 0.5000 (multiplicity 4)

Spin magnetization in Bohr magnetons per cell: 0.0
DOS at the Fermi energy in states/eV/f.u.: 1.03

---

x.
Compound: LaPtSe2
Source: Alexandria via LeMat-Bulk
Functional: GGA-PBE
Structure: optimized geometry

Cell: 3.9564 3.9564 6.0291 Å, 90.00 90.00 90.00°
Space group P4mm (No. 99)
Inequivalent atoms, fractional coordinates:
La 0.0000 0.0000 0.0000 (multiplicity 1)
Pt 0.5000 0.5000 0.3963 (multiplicity 1)
Se 0.0000 0.0000 0.4612 (multiplicity 1)
Se 0.5000 0.5000 0.8394 (multiplicity 1)

Spin magnetization in Bohr magnetons per cell: 0.0
DOS at the Fermi energy in states/eV/f.u.: 1.38

---

Result of the stability comparison: w is the least stable of them.

---

w.
Compound: LaPtSe2
Source: Alexandria via LeMat-Bulk
Functional: GGA-PBE
Structure: optimized geometry

Cell: 3.8172 3.8172 25.8426 Å, 90.00 90.00 120.00°
Space group R-3m (No. 166, hexagonal axes)
Inequivalent atoms, fractional coordinates:
La 0.0000 0.0000 0.0000 (multiplicity 3)
Pt 0.0000 0.0000 0.5000 (multiplicity 3)
Se 0.0000 0.0000 0.1157 (multiplicity 6)

Spin magnetization in Bohr magnetons per cell: 0.0
DOS at the Fermi energy in states/eV/f.u.: 4.48

---

x.
Compound: LaPtSe2
Source: Alexandria via LeMat-Bulk
Functional: GGA-PBE
Structure: optimized geometry

Cell: 7.0542 7.0542 7.0542 Å, 90.00 90.00 90.00°
Space group Fm-3m (No. 225)
Inequivalent atoms, fractional coordinates:
La 0.0000 0.0000 0.0000 (multiplicity 4)
Pt 0.0000 0.0000 0.5000 (multiplicity 4)
Se 0.2500 0.2500 0.2500 (multiplicity 8)

Spin magnetization in Bohr magnetons per cell: 0.0
DOS at the Fermi energy in states/eV/f.u.: 5.28

---

y.
Compound: LaPtSe2
Source: Alexandria via LeMat-Bulk
Functional: GGA-PBE
Structure: optimized geometry

Cell: 4.1943 5.6150 7.7491 Å, 90.00 90.00 90.00°
Space group Immm (No. 71)
Inequivalent atoms, fractional coordinates:
La 0.0000 0.0000 0.0000 (multiplicity 2)
Pt 0.0000 0.0000 0.5000 (multiplicity 2)
Se 0.0000 0.5000 0.1985 (multiplicity 4)

Spin magnetization in Bohr magnetons per cell: 0.0
DOS at the Fermi energy in states/eV/f.u.: 3.13

---

Result of the stability comparison: w is the least stable of them.

---

w.
Compound: LaPtSe2
Source: Alexandria via LeMat-Bulk
Functional: GGA-PBE
Structure: optimized geometry

Cell: 11.2153 4.0043 4.7385 Å, 90.00 92.20 90.00°
Space group Cm (No. 8)
Inequivalent atoms, fractional coordinates:
La 0.0000 0.0000 0.0000 (multiplicity 2)
Pt 0.2072 0.5000 0.8032 (multiplicity 2)
Se 0.0196 0.5000 0.5074 (multiplicity 2)
Se 0.2769 0.0000 0.0555 (multiplicity 2)

Spin magnetization in Bohr magnetons per cell: 0.0
DOS at the Fermi energy in states/eV/f.u.: 0.94

---

x.
Compound: LaPtSe2
Source: Alexandria via LeMat-Bulk
Functional: GGA-PBE
Structure: optimized geometry

Cell: 7.1066 7.1066 7.1066 Å, 90.00 90.00 90.00°
Space group F-43m (No. 216)
Inequivalent atoms, fractional coordinates:
La 0.0000 0.0000 0.0000 (multiplicity 4)
Pt 0.2500 0.2500 0.2500 (multiplicity 4)
Se 0.0000 0.0000 0.5000 (multiplicity 4)
Se 0.2500 0.2500 0.7500 (multiplicity 4)

Spin magnetization in Bohr magnetons per cell: 0.0
DOS at the Fermi energy in states/eV/f.u.: 4.71

---

Result of the stability comparison: x is the least stable of them.

---

w.
Compound: LaPtSe2
Source: Alexandria via LeMat-Bulk
Functional: GGA-PBE
Structure: optimized geometry

Cell: 4.2555 4.2555 21.4497 Å, 90.00 90.00 120.00°
Space group R3m (No. 160, hexagonal axes)
Inequivalent atoms, fractional coordinates:
La 0.0000 0.0000 0.0000 (multiplicity 3)
Pt 0.0000 0.0000 0.2361 (multiplicity 3)
Se 0.0000 0.0000 0.5499 (multiplicity 3)
Se 0.0000 0.0000 0.7391 (multiplicity 3)

Spin magnetization in Bohr magnetons per cell: 0.0
DOS at the Fermi energy in states/eV/f.u.: 5.00

---

x.
Compound: LaPtSe2
Source: Alexandria via LeMat-Bulk
Functional: GGA-PBE
Structure: optimized geometry

Cell: 3.9485 3.8141 6.4184 Å, 90.00 91.82 90.00°
Space group P2/m (No. 10)
Inequivalent atoms, fractional coordinates:
La 0.0000 0.0000 0.0000 (multiplicity 1)
Pt 0.5000 0.0000 0.5000 (multiplicity 1)
Se 0.4907 0.5000 0.7556 (multiplicity 2)

Spin magnetization in Bohr magnetons per cell: 0.0
DOS at the Fermi energy in states/eV/f.u.: 1.58

---

y.
Compound: LaPtSe2
Source: Alexandria via LeMat-Bulk
Functional: GGA-PBE
Structure: optimized geometry

Cell: 4.7180 4.7180 21.9537 Å, 90.00 90.00 120.00°
Space group R-3m (No. 166, hexagonal axes)
Inequivalent atoms, fractional coordinates:
La 0.0000 0.0000 0.0000 (multiplicity 3)
Pt 0.0000 0.0000 0.5000 (multiplicity 3)
Se 0.0000 0.0000 0.3930 (multiplicity 6)

Spin magnetization in Bohr magnetons per cell: 2.8
DOS at the Fermi energy in states/eV/f.u.: 5.96

---

Result of the stability comparison: y is the least stable of them.

---

w.
Compound: LaPtSe2
Source: Alexandria via LeMat-Bulk
Functional: GGA-PBE
Structure: optimized geometry

Cell: 4.7348 4.7348 3.8201 Å, 90.00 90.00 90.00°
Space group P4/mmm (No. 123)
Inequivalent atoms, fractional coordinates:
La 0.0000 0.0000 0.0000 (multiplicity 1)
Pt 0.5000 0.5000 0.0000 (multiplicity 1)
Se 0.0000 0.5000 0.5000 (multiplicity 2)

Spin magnetization in Bohr magnetons per cell: 0.0
DOS at the Fermi energy in states/eV/f.u.: 2.45

---

x.
Compound: LaPtSe2
Source: Alexandria via LeMat-Bulk
Functional: GGA-PBE
Structure: optimized geometry

Cell: 4.2331 6.5782 6.9928 Å, 90.00 90.00 90.00°
Space group Cmmm (No. 65)
Inequivalent atoms, fractional coordinates:
La 0.0000 0.0000 0.0000 (multiplicity 2)
Pt 0.0000 0.0000 0.5000 (multiplicity 2)
Se 0.0000 0.5000 0.2789 (multiplicity 4)

Spin magnetization in Bohr magnetons per cell: 0.0
DOS at the Fermi energy in states/eV/f.u.: 3.72

---

y.
Compound: LaPtSe2
Source: Alexandria via LeMat-Bulk
Functional: GGA-PBE
Structure: optimized geometry

Cell: 5.2843 5.2843 15.7483 Å, 90.00 90.00 90.00°
Space group I-42d (No. 122)
Inequivalent atoms, fractional coordinates:
La 0.0000 0.0000 0.0000 (multiplicity 4)
Pt 0.0000 0.0000 0.5000 (multiplicity 4)
Se 0.1852 0.2500 0.6250 (multiplicity 8)

Spin magnetization in Bohr magnetons per cell: 0.0
DOS at the Fermi energy in states/eV/f.u.: 2.56

---

z.
Compound: LaPtSe2
Source: Alexandria via LeMat-Bulk
Functional: GGA-PBE
Structure: optimized geometry

Cell: 4.1919 4.5750 5.5020 Å, 90.00 108.46 90.00°
Space group Pm (No. 6)
Inequivalent atoms, fractional coordinates:
La 0.0000 0.0000 0.0000 (multiplicity 1)
Pt 0.4659 0.5000 0.3978 (multiplicity 1)
Se 0.4350 0.5000 0.8771 (multiplicity 1)
Se 0.6751 0.0000 0.4200 (multiplicity 1)

Spin magnetization in Bohr magnetons per cell: 0.0
DOS at the Fermi energy in states/eV/f.u.: 0.79

---

Result of the stability comparison: x is the least stable of them.

---

w.
Compound: LaPtSe2
Source: Alexandria via LeMat-Bulk
Functional: GGA-PBE
Structure: optimized geometry

Cell: 4.5288 4.5288 15.3253 Å, 90.00 90.00 120.00°
Space group R-3m (No. 166, hexagonal axes)
Inequivalent atoms, fractional coordinates:
La 0.0000 0.0000 0.0000 (multiplicity 3)
Pt 0.0000 0.0000 0.5000 (multiplicity 3)
Se 0.0000 0.0000 0.2314 (multiplicity 6)

Spin magnetization in Bohr magnetons per cell: 0.0
DOS at the Fermi energy in states/eV/f.u.: 3.21

---

x.
Compound: LaPtSe2
Source: Alexandria via LeMat-Bulk
Functional: GGA-PBE
Structure: optimized geometry

Cell: 3.7339 3.8532 14.1249 Å, 90.00 90.00 90.00°
Space group Imm2 (No. 44)
Inequivalent atoms, fractional coordinates:
La 0.0000 0.0000 0.0000 (multiplicity 2)
Pt 0.0000 0.5000 0.6856 (multiplicity 2)
Se 0.0000 0.0000 0.4092 (multiplicity 2)
Se 0.0000 0.5000 0.1706 (multiplicity 2)

Spin magnetization in Bohr magnetons per cell: 0.0
DOS at the Fermi energy in states/eV/f.u.: 1.02

---

Result of the stability comparison: w is the least stable of them.

---

w.
Compound: La2Pt2Se
Source: Alexandria via LeMat-Bulk
Functional: GGA-PBE
Structure: optimized geometry

Cell: 7.9957 7.9957 3.8235 Å, 90.00 90.00 90.00°
Space group P4/mbm (No. 127)
Inequivalent atoms, fractional coordinates:
La 0.1808 0.3192 0.0000 (multiplicity 4)
Pt 0.1216 0.6216 0.5000 (multiplicity 4)
Se 0.0000 0.0000 0.5000 (multiplicity 2)

Spin magnetization in Bohr magnetons per cell: 0.0
DOS at the Fermi energy in states/eV/f.u.: 1.57

---

x.
Compound: La2Pt2Se
Source: Alexandria via LeMat-Bulk
Functional: GGA-PBE
Structure: optimized geometry

Cell: 3.9671 3.9671 15.9533 Å, 90.00 90.00 90.00°
Space group I4/mmm (No. 139)
Inequivalent atoms, fractional coordinates:
La 0.0000 0.0000 0.1153 (multiplicity 4)
Pt 0.0000 0.5000 0.2500 (multiplicity 4)
Se 0.0000 0.0000 0.5000 (multiplicity 2)

Spin magnetization in Bohr magnetons per cell: 0.0
DOS at the Fermi energy in states/eV/f.u.: 2.55

---

y.
Compound: La2Pt2Se
Source: Alexandria via LeMat-Bulk
Functional: GGA-PBE
Structure: optimized geometry

Cell: 8.1611 8.1611 3.9011 Å, 90.00 90.00 90.00°
Space group P4/mbm (No. 127)
Inequivalent atoms, fractional coordinates:
La 0.1786 0.3214 0.0000 (multiplicity 4)
Pt 0.1199 0.6199 0.5000 (multiplicity 4)
Se 0.0000 0.0000 0.0000 (multiplicity 2)

Spin magnetization in Bohr magnetons per cell: 0.0
DOS at the Fermi energy in states/eV/f.u.: 0.61

---

Result of the stability comparison: y is the least stable of them.

---

w.
Compound: LaSmPt
Source: Alexandria via LeMat-Bulk
Functional: GGA-PBE
Structure: optimized geometry

Cell: 4.2049 4.2049 6.5094 Å, 90.00 90.00 120.00°
Space group P3m1 (No. 156)
Inequivalent atoms, fractional coordinates:
La 0.0000 0.0000 0.0000 (multiplicity 1)
Sm 0.3333 0.6667 0.4865 (multiplicity 1)
Pt 0.6667 0.3333 0.2505 (multiplicity 1)

Spin magnetization in Bohr magnetons per cell: 0.0
DOS at the Fermi energy in states/eV/f.u.: 3.62

---

x.
Compound: LaSmPt
Source: Alexandria via LeMat-Bulk
Functional: GGA-PBE
Structure: optimized geometry

Cell: 3.6433 3.6433 13.0801 Å, 90.00 90.00 90.00°
Space group I4mm (No. 107)
Inequivalent atoms, fractional coordinates:
La 0.0000 0.0000 0.0000 (multiplicity 2)
Sm 0.0000 0.0000 0.7391 (multiplicity 2)
Pt 0.0000 0.0000 0.3594 (multiplicity 2)

Spin magnetization in Bohr magnetons per cell: 0.0
DOS at the Fermi energy in states/eV/f.u.: 4.09

---

y.
Compound: LaSmPt
Source: Alexandria via LeMat-Bulk
Functional: GGA-PBE
Structure: optimized geometry

Cell: 4.9332 4.9332 7.1473 Å, 90.00 90.00 90.00°
Space group P4/nmm (No. 129, origin choice 2)
Inequivalent atoms, fractional coordinates:
La 0.2500 0.2500 0.1143 (multiplicity 2)
Sm 0.2500 0.7500 0.5000 (multiplicity 2)
Pt 0.2500 0.2500 0.7218 (multiplicity 2)

Spin magnetization in Bohr magnetons per cell: 0.0
DOS at the Fermi energy in states/eV/f.u.: 3.39

---

Result of the stability comparison: x is the least stable of them.

---

w.
Compound: LaSmPt2
Source: Alexandria via LeMat-Bulk
Functional: GGA-PBE
Structure: optimized geometry

Cell: 4.1409 4.1409 21.4410 Å, 90.00 90.00 120.00°
Space group R3m (No. 160, hexagonal axes)
Inequivalent atoms, fractional coordinates:
La 0.0000 0.0000 0.0000 (multiplicity 3)
Sm 0.0000 0.0000 0.1723 (multiplicity 3)
Pt 0.0000 0.0000 0.5848 (multiplicity 3)
Pt 0.0000 0.0000 0.7540 (multiplicity 3)

Spin magnetization in Bohr magnetons per cell: 0.0
DOS at the Fermi energy in states/eV/f.u.: 2.35

---

x.
Compound: LaSmPt2
Source: Alexandria via LeMat-Bulk
Functional: GGA-PBE
Structure: optimized geometry

Cell: 4.1977 4.1977 20.6185 Å, 90.00 90.00 120.00°
Space group R-3m (No. 166, hexagonal axes)
Inequivalent atoms, fractional coordinates:
La 0.0000 0.0000 0.0000 (multiplicity 3)
Sm 0.0000 0.0000 0.5000 (multiplicity 3)
Pt 0.0000 0.0000 0.2479 (multiplicity 6)

Spin magnetization in Bohr magnetons per cell: 0.0
DOS at the Fermi energy in states/eV/f.u.: 2.07

---

y.
Compound: LaSmPt2
Source: Alexandria via LeMat-Bulk
Functional: GGA-PBE
Structure: optimized geometry

Cell: 3.6036 3.6036 7.2704 Å, 90.00 90.00 90.00°
Space group P4/mmm (No. 123)
Inequivalent atoms, fractional coordinates:
La 0.0000 0.0000 0.0000 (multiplicity 1)
Sm 0.0000 0.0000 0.5000 (multiplicity 1)
Pt 0.5000 0.5000 0.2632 (multiplicity 2)

Spin magnetization in Bohr magnetons per cell: 0.0
DOS at the Fermi energy in states/eV/f.u.: 2.95

---

Result of the stability comparison: w is the least stable of them.